Record 1
## CsSrPmO3 (GGA-PBE)

Data for an optimized crystal structure of CsSrPmO3.

Results
For the total energy, the calculation gives -6.120 eV per atom. Its crystal system is monoclinic. The density is 4.370 Mg/m³. The value obtained for the volume is 26.19 Å³ per atom.

CIF file:
```
data_CsSrPmO3
_chemical_formula_sum 'Cs2 Sr2 Pm2 O6'
_cell_length_a 8.1703
_cell_length_b 3.6668
_cell_length_c 10.5012
_cell_angle_alpha 90.00
_cell_angle_beta 92.68
_cell_angle_gamma 90.00
_space_group_name_H-M_alt 'P 1'
_space_group_IT_number 1
loop_
_space_group_symop_operation_xyz
'x,y,z'
loop_
_atom_site_label
_atom_site_fract_x
_atom_site_fract_y
_atom_site_fract_z
Cs1 0.1122 0.2500 0.1917
Cs2 0.8878 0.7500 0.8083
Sr1 0.1684 0.2500 0.5592
Sr2 0.8316 0.7500 0.4408
Pm1 0.4116 0.7500 0.8716
Pm2 0.5884 0.2500 0.1284
O1 0.1256 0.7500 0.4200
O2 0.2723 0.2500 0.7850
O3 0.3923 0.7500 0.0807
O4 0.6077 0.2500 0.9193
O5 0.7277 0.7500 0.2150
O6 0.8744 0.2500 0.5800
```


Record 2
## Rb3AuF (GGA-PBE)

Data for an optimized crystal structure of Rb3AuF.

Results
For the total energy, the calculation gives -2.748 eV per atom. Its crystal system is cubic. The density is 4.395 Mg/m³. As for the energy above the most stable polymorph in this dataset: 0.0 meV per atom. The value obtained for the volume is 35.69 Å³ per atom.

CIF file:
```
data_Rb3AuF
_chemical_formula_sum 'Rb3 Au1 F1'
_cell_length_a 5.6300
_cell_length_b 5.6300
_cell_length_c 5.6300
_cell_angle_alpha 90.00
_cell_angle_beta 90.00
_cell_angle_gamma 90.00
_space_group_name_H-M_alt 'P 1'
_space_group_IT_number 1
loop_
_space_group_symop_operation_xyz
'x,y,z'
loop_
_atom_site_label
_atom_site_fract_x
_atom_site_fract_y
_atom_site_fract_z
Rb1 0.0000 0.0000 0.5000
Rb2 0.0000 0.5000 0.0000
Rb3 0.5000 0.0000 0.0000
Au1 0.5000 0.5000 0.5000
F1 0.0000 0.0000 0.0000
```


Record 3
## AcTb4Pm2Pr (GGA-PBE)

Data for an optimized crystal structure of AcTb4Pm2Pr.

Results
For the total energy, the calculation gives -4.202 eV per atom. Its crystal system is orthorhombic. The density is 7.584 Mg/m³. The value obtained for the volume is 35.41 Å³ per atom. The calculation puts the calculated formation energy at 0.411 eV per atom.

CIF file:
```
data_AcTb4Pm2Pr
_chemical_formula_sum 'Ac2 Tb8 Pm4 Pr2'
_cell_length_a 9.6936
_cell_length_b 9.6936
_cell_length_c 9.6936
_cell_angle_alpha 137.85
_cell_angle_beta 103.34
_cell_angle_gamma 91.60
_space_group_name_H-M_alt 'P 1'
_space_group_IT_number 1
loop_
_space_group_symop_operation_xyz
'x,y,z'
loop_
_atom_site_label
_atom_site_fract_x
_atom_site_fract_y
_atom_site_fract_z
Ac1 0.0000 0.0000 0.0000
Ac2 0.5000 0.0000 0.5000
Tb1 0.2444 0.7422 0.5023
Tb2 0.2520 0.2657 0.5137
Tb3 0.2520 0.7383 0.9863
Tb4 0.2601 0.2578 0.0023
Tb5 0.7399 0.7422 0.9977
Tb6 0.7480 0.2617 0.0137
Tb7 0.7480 0.7343 0.4863
Tb8 0.7556 0.2578 0.4977
Pm1 0.0000 0.5000 0.5000
Pm2 0.5000 0.0000 0.0000
Pm3 0.5000 0.5000 0.0000
Pm4 0.5000 0.5000 0.5000
Pr1 0.0000 0.0000 0.5000
Pr2 0.0000 0.5000 0.0000
```


Record 4
## Nd2DyAg2 (GGA-PBE)

Data for an optimized crystal structure of Nd2DyAg2.

Results
For the total energy, the calculation gives -4.160 eV per atom. Its crystal system is orthorhombic. The density is 8.099 Mg/m³. As for the energy above the most stable polymorph in this dataset: 0.0 meV per atom. The value obtained for the volume is 27.34 Å³ per atom. The calculation puts the calculated formation energy at -0.192 eV per atom.

CIF file:
```
data_Nd2DyAg2
_chemical_formula_sum 'Nd4 Dy2 Ag4'
_cell_length_a 13.8999
_cell_length_b 13.8999
_cell_length_c 5.3395
_cell_angle_alpha 90.00
_cell_angle_beta 90.00
_cell_angle_gamma 164.63
_space_group_name_H-M_alt 'P 1'
_space_group_IT_number 1
loop_
_space_group_symop_operation_xyz
'x,y,z'
loop_
_atom_site_label
_atom_site_fract_x
_atom_site_fract_y
_atom_site_fract_z
Nd1 0.0467 0.9533 0.7500
Nd2 0.2339 0.7661 0.7500
Nd3 0.7661 0.2339 0.2500
Nd4 0.9533 0.0467 0.2500
Dy1 0.1452 0.8548 0.2500
Dy2 0.8548 0.1452 0.7500
Ag1 0.3593 0.6407 0.2500
Ag2 0.4478 0.5522 0.7500
Ag3 0.5522 0.4478 0.2500
Ag4 0.6407 0.3593 0.7500
```


Record 5
## HgPd7Se2 (GGA-PBE)

Data for an optimized crystal structure of HgPd7Se2.

Results
For the total energy, the calculation gives -4.515 eV per atom. Its crystal system is tetragonal. The density is 10.501 Mg/m³. The value obtained for the volume is 17.45 Å³ per atom.

CIF file:
```
data_HgPd7Se2
_chemical_formula_sum 'Hg1 Pd7 Se2'
_cell_length_a 10.6774
_cell_length_b 10.6774
_cell_length_c 10.6774
_cell_angle_alpha 157.74
_cell_angle_beta 157.74
_cell_angle_gamma 31.68
_space_group_name_H-M_alt 'P 1'
_space_group_IT_number 1
loop_
_space_group_symop_operation_xyz
'x,y,z'
loop_
_atom_site_label
_atom_site_fract_x
_atom_site_fract_y
_atom_site_fract_z
Hg1 0.0000 0.0000 0.0000
Pd1 0.0990 0.5990 0.5000
Pd2 0.2500 0.7500 0.5000
Pd3 0.4010 0.9010 0.5000
Pd4 0.5000 0.5000 0.0000
Pd5 0.5990 0.0990 0.5000
Pd6 0.7500 0.2500 0.5000
Pd7 0.9010 0.4010 0.5000
Se1 0.3289 0.3289 0.0000
Se2 0.6711 0.6711 0.0000
```


Record 6
## Rb2DyScSe4 (GGA-PBE)

Data for an optimized crystal structure of Rb2DyScSe4.

Results
For the total energy, the calculation gives -5.007 eV per atom. Its crystal system is monoclinic. The density is 4.865 Mg/m³. The value obtained for the volume is 29.62 Å³ per atom.

CIF file:
```
data_Rb2DyScSe4
_chemical_formula_sum 'Rb2 Dy1 Sc1 Se4'
_cell_length_a 7.1780
_cell_length_b 4.1476
_cell_length_c 8.3106
_cell_angle_alpha 90.00
_cell_angle_beta 106.73
_cell_angle_gamma 90.00
_space_group_name_H-M_alt 'P 1'
_space_group_IT_number 1
loop_
_space_group_symop_operation_xyz
'x,y,z'
loop_
_atom_site_label
_atom_site_fract_x
_atom_site_fract_y
_atom_site_fract_z
Rb1 0.0000 0.0000 0.0000
Rb2 0.5000 0.5000 0.0000
Dy1 0.0000 0.5000 0.5000
Sc1 0.5000 0.0000 0.5000
Se1 0.2417 0.0000 0.6932
Se2 0.2807 0.5000 0.3116
Se3 0.7193 0.5000 0.6884
Se4 0.7583 0.0000 0.3068
```


- Which of these has the lowest volume?
  HgPd7Se2


- Look up the volume of the fourth one.
  27.34 Å³ per atom


What did the fifth record say?
## HgPd7Se2 (GGA-PBE)

Data for an optimized crystal structure of HgPd7Se2.

Results
For the total energy, the calculation gives -4.515 eV per atom. Its crystal system is tetragonal. The density is 10.501 Mg/m³. The value obtained for the volume is 17.45 Å³ per atom.

CIF file:
```
data_HgPd7Se2
_chemical_formula_sum 'Hg1 Pd7 Se2'
_cell_length_a 10.6774
_cell_length_b 10.6774
_cell_length_c 10.6774
_cell_angle_alpha 157.74
_cell_angle_beta 157.74
_cell_angle_gamma 31.68
_space_group_name_H-M_alt 'P 1'
_space_group_IT_number 1
loop_
_space_group_symop_operation_xyz
'x,y,z'
loop_
_atom_site_label
_atom_site_fract_x
_atom_site_fract_y
_atom_site_fract_z
Hg1 0.0000 0.0000 0.0000
Pd1 0.0990 0.5990 0.5000
Pd2 0.2500 0.7500 0.5000
Pd3 0.4010 0.9010 0.5000
Pd4 0.5000 0.5000 0.0000
Pd5 0.5990 0.0990 0.5000
Pd6 0.7500 0.2500 0.5000
Pd7 0.9010 0.4010 0.5000
Se1 0.3289 0.3289 0.0000
Se2 0.6711 0.6711 0.0000
```